A plane-wave DFT calculation with PBE was carried out for crystalline La6Pt2Br3Cl at its relaxed geometry.

Calculated density ... 6.8 g/cm³
Energy ... -64.82 eV for the cell shown
Energy relative to the elements, uncorrected ... -1.36 eV per atom

Unit cell a=7.5375 b=7.5375 c=7.7773 alpha=99.26 beta=99.26 gamma=119.68
Element x y z (fractional)
La1 0.0705 0.4266 0.7818
La2 0.2151 0.2151 0.2098
La3 0.4266 0.0705 0.7818
La4 0.5734 0.9295 0.2182
La5 0.7849 0.7849 0.7902
La6 0.9295 0.5734 0.2182
Pt1 0.1680 0.8320 0.0000
Pt2 0.8320 0.1680 0.0000
Br1 0.0000 0.0000 0.5000
Br2 0.3450 0.6550 0.5000
Br3 0.6550 0.3450 0.5000
Cl1 0.5000 0.5000 0.0000